# 1
DFT (GGA-PBEsol) results for an optimized crystal structure of TaHg2Mo.

a b c (Å): 5.136 5.136 5.136
angles (deg): 133.05 133.05 68.58
Positions (direct):
1 Ta 0.000 0.000 0.000
2 Hg 0.500 0.500 0.000
3 Hg 0.750 0.250 0.500
4 Mo 0.250 0.750 0.500

Computed properties:
ΔE_f   448 meV/atom
Spin magnetization   0.00 μB/f.u.
Energy   -5.91 eV per atom

# 2
DFT (GGA-PBEsol) results for an optimized crystal structure of TaHg2Mo.

a b c (Å): 3.396 3.396 6.416
angles (deg): 90.00 90.00 90.00
Positions (direct):
1 Ta 0.000 0.000 0.000
2 Hg 0.000 0.000 0.544
3 Hg 0.500 0.500 0.281
4 Mo 0.500 0.500 0.822

Computed properties:
ΔE_f   296 meV/atom
Spin magnetization   0.00 μB/f.u.
Energy   -6.07 eV per atom

# 3
DFT (GGA-PBEsol) results for an optimized crystal structure of TaHgMo2.

a b c (Å): 4.568 4.568 4.568
angles (deg): 60.00 60.00 60.00
Positions (direct):
1 Ta 0.000 0.000 0.000
2 Hg 0.750 0.750 0.750
3 Mo 0.250 0.250 0.250
4 Mo 0.500 0.500 0.500

Computed properties:
ΔE_f   443 meV/atom
Spin magnetization   0.00 μB/f.u.
Energy   -8.72 eV per atom

# 4
DFT (GGA-PBEsol) results for an optimized crystal structure of TaHg2Mo.

a b c (Å): 2.842 2.842 8.761
angles (deg): 90.00 90.00 90.00
Positions (direct):
1 Ta 0.000 0.000 0.000
2 Hg 0.500 0.500 0.254
3 Hg 0.500 0.500 0.746
4 Mo 0.000 0.000 0.500

Computed properties:
ΔE_f   403 meV/atom
Spin magnetization   0.00 μB/f.u.
Energy   -5.96 eV per atom

# 5
DFT (GGA-PBEsol) results for an optimized crystal structure of TaHg4Mo.

a b c (Å): 5.455 5.455 5.455
angles (deg): 60.00 60.00 60.00
Positions (direct):
1 Ta 0.000 0.000 0.000
2 Hg 0.375 0.375 0.375
3 Hg 0.375 0.375 0.875
4 Hg 0.375 0.875 0.375
5 Hg 0.875 0.375 0.375
6 Mo 0.750 0.750 0.750

Computed properties:
ΔE_f   762 meV/atom
Spin magnetization   0.00 μB/f.u.
Energy   -3.67 eV per atom

# 6
DFT (GGA-PBEsol) results for an optimized crystal structure of TaHg2Mo.

a b c (Å): 5.237 5.237 5.237
angles (deg): 135.06 135.06 65.43
Positions (direct):
1 Ta 0.000 0.000 0.000
2 Hg 0.250 0.750 0.500
3 Hg 0.750 0.250 0.500
4 Mo 0.500 0.500 0.000

Computed properties:
ΔE_f   340 meV/atom
Spin magnetization   0.00 μB/f.u.
Energy   -6.02 eV per atom

# 7
DFT (GGA-PBEsol) results for an optimized crystal structure of Ta3HgMo.

a b c (Å): 4.879 4.879 4.879
angles (deg): 90.00 90.00 90.00
Positions (direct):
1 Ta 0.000 0.000 0.500
2 Ta 0.000 0.500 0.000
3 Ta 0.500 0.000 0.000
4 Hg 0.000 0.000 0.000
5 Mo 0.500 0.500 0.500

Computed properties:
ΔE_f   2581 meV/atom
Spin magnetization   0.00 μB/f.u.
Energy   -7.42 eV per atom

# 8
DFT (GGA-PBEsol) results for an optimized crystal structure of TaHg2Mo.

a b c (Å): 5.181 5.181 4.756
angles (deg): 101.95 101.95 35.30
Positions (direct):
1 Ta 0.000 0.000 0.000
2 Hg 0.248 0.248 0.747
3 Hg 0.752 0.752 0.253
4 Mo 0.500 0.500 0.500

Computed properties:
ΔE_f   403 meV/atom
Spin magnetization   0.00 μB/f.u.
Energy   -5.96 eV per atom

# 9
DFT (GGA-PBEsol) results for an optimized crystal structure of Zr2TaHgMo.

a b c (Å): 5.058 5.058 4.883
angles (deg): 90.00 90.00 90.00
Positions (direct):
1 Zr 0.000 0.500 0.000
2 Zr 0.500 0.000 0.000
3 Ta 0.000 0.000 0.500
4 Hg 0.500 0.500 0.000
5 Mo 0.500 0.500 0.500

Computed properties:
ΔE_f   1869 meV/atom
Spin magnetization   0.15 μB/f.u.
Energy   -6.74 eV per atom

# 10
DFT (GGA-PBEsol) results for an optimized crystal structure of TcHgMo.

a b c (Å): 4.323 4.323 4.323
angles (deg): 60.00 60.00 60.00
Positions (direct):
1 Tc 0.000 0.000 0.000
2 Hg 0.750 0.750 0.750
3 Mo 0.500 0.500 0.500

Computed properties:
ΔE_f   1598 meV/atom
Spin magnetization   0.79 μB/f.u.
Energy   -6.27 eV per atom

# 11
DFT (GGA-PBEsol) results for an optimized crystal structure of Tc2HgMo.

a b c (Å): 3.090 3.090 6.679
angles (deg): 90.00 90.00 90.00
Positions (direct):
1 Tc 0.000 0.000 0.216
2 Tc 0.000 0.000 0.784
3 Hg 0.500 0.500 0.500
4 Mo 0.500 0.500 0.000

Computed properties:
ΔE_f   359 meV/atom
Spin magnetization   0.00 μB/f.u.
Energy   -8.36 eV per atom

# 12
DFT (GGA-PBEsol) results for an optimized crystal structure of TcHg2Mo.

a b c (Å): 2.760 2.760 9.279
angles (deg): 90.00 90.00 104.57
Positions (direct):
1 Tc 0.000 0.000 0.000
2 Hg 0.500 0.500 0.248
3 Hg 0.500 0.500 0.752
4 Mo 0.000 0.000 0.500

Computed properties:
ΔE_f   678 meV/atom
Spin magnetization   0.00 μB/f.u.
Energy   -5.36 eV per atom